Entry 1:
Compound: TiSbI2O
Source: the Alexandria database
Functional: GGA-PBE
Structure: relaxed

a = 5.852 Å, b = 5.852 Å, c = 3.743 Å
α = 90.00°, β = 90.00°, γ = 90.00°
Fractional positions:
Ti  0.000  0.000  0.000
Sb  0.500  0.500  0.500
I  0.000  0.500  0.000
I  0.500  0.000  0.000
O  0.000  0.000  0.500

## Properties
Space-group type = P4/mmm
Formation energy without anion corrections = -3.77 eV per formula unit
Crystal system = tetragonal
Volume = 25.6 Å³ per atom

Entry 2:
Compound: TlSbI2O
Source: the Alexandria database
Functional: GGA-PBE
Structure: relaxed

a = 6.290 Å, b = 6.290 Å, c = 4.160 Å
α = 90.00°, β = 90.00°, γ = 90.00°
Fractional positions:
Tl  0.000  0.000  0.000
Sb  0.500  0.500  0.500
I  0.000  0.500  0.500
I  0.500  0.000  0.500
O  0.500  0.500  0.000

## Properties
Space-group type = P4/mmm
Formation energy without anion corrections = -2.79 eV per formula unit
Crystal system = tetragonal
Volume = 32.9 Å³ per atom

Entry 3:
Compound: TlSbI2O
Source: the Alexandria database
Functional: GGA-PBE
Structure: relaxed

a = 6.080 Å, b = 6.080 Å, c = 5.839 Å
α = 90.00°, β = 90.00°, γ = 90.00°
Fractional positions:
Tl  0.000  0.000  0.000
Sb  0.000  0.000  0.500
I  0.000  0.500  0.000
I  0.500  0.000  0.000
O  0.500  0.500  0.500

## Properties
Space-group type = P4/mmm
Formation energy without anion corrections = 4.90 eV per formula unit
Crystal system = tetragonal
Volume = 43.2 Å³ per atom